(P)
Entry from the Open Quantum Materials Database: crystalline HfInCuAg at its relaxed geometry (PBE).

CIF file:
```
data_HfInCuAg
_chemical_formula_sum 'Hf4 In4 Cu4 Ag4'
_cell_length_a 6.647
_cell_length_b 6.647
_cell_length_c 6.647
_cell_angle_alpha 90.00
_cell_angle_beta 90.00
_cell_angle_gamma 90.00
_symmetry_space_group_name_H-M 'F -4 3 m'
_symmetry_Int_Tables_number 216
_symmetry_space_group_name_Hall 'F -4 2 3'
loop_
_atom_site_label
_atom_site_fract_x
_atom_site_fract_y
_atom_site_fract_z
_atom_site_occupancy
Hf1 0.000 0.000 0.000 1
In1 0.250 0.250 0.250 1
Cu1 0.000 0.000 0.500 1
Ag1 0.250 0.250 0.750 1
```

Crystal system: cubic
Theoretical density, g/cm³: 10.51
Magnetic moment, μB per formula unit: 0.00

(Q)
Entry from the Open Quantum Materials Database: crystalline HfInCuAg at its relaxed geometry (PBE).

CIF file:
```
data_HfInCuAg
_chemical_formula_sum 'Hf4 In4 Cu4 Ag4'
_cell_length_a 6.592
_cell_length_b 6.592
_cell_length_c 6.592
_cell_angle_alpha 90.00
_cell_angle_beta 90.00
_cell_angle_gamma 90.00
_symmetry_space_group_name_H-M 'F -4 3 m'
_symmetry_Int_Tables_number 216
_symmetry_space_group_name_Hall 'F -4 2 3'
loop_
_atom_site_label
_atom_site_fract_x
_atom_site_fract_y
_atom_site_fract_z
_atom_site_occupancy
Hf1 0.000 0.000 0.000 1
In1 0.000 0.000 0.500 1
Cu1 0.250 0.250 0.750 1
Ag1 0.250 0.250 0.250 1
```

Crystal system: cubic
Theoretical density, g/cm³: 10.78
Magnetic moment, μB per formula unit: 0.00

Of them, (Q) has the highest stability.

(P)
Entry from the Open Quantum Materials Database: crystalline HfCuAgSn at its relaxed geometry (PBE).

CIF file:
```
data_HfCuAgSn
_chemical_formula_sum 'Hf4 Cu4 Ag4 Sn4'
_cell_length_a 6.692
_cell_length_b 6.692
_cell_length_c 6.692
_cell_angle_alpha 90.00
_cell_angle_beta 90.00
_cell_angle_gamma 90.00
_symmetry_space_group_name_H-M 'F -4 3 m'
_symmetry_Int_Tables_number 216
_symmetry_space_group_name_Hall 'F -4 2 3'
loop_
_atom_site_label
_atom_site_fract_x
_atom_site_fract_y
_atom_site_fract_z
_atom_site_occupancy
Hf1 0.000 0.000 0.000 1
Cu1 0.000 0.000 0.500 1
Ag1 0.250 0.250 0.750 1
Sn1 0.250 0.250 0.250 1
```

Crystal system: cubic
Theoretical density, g/cm³: 10.39
Magnetic moment, μB per formula unit: 0.00

(Q)
Entry from the Open Quantum Materials Database: crystalline HfCuAgSn at its relaxed geometry (PBE).

CIF file:
```
data_HfCuAgSn
_chemical_formula_sum 'Hf4 Cu4 Ag4 Sn4'
_cell_length_a 6.653
_cell_length_b 6.653
_cell_length_c 6.653
_cell_angle_alpha 90.00
_cell_angle_beta 90.00
_cell_angle_gamma 90.00
_symmetry_space_group_name_H-M 'F -4 3 m'
_symmetry_Int_Tables_number 216
_symmetry_space_group_name_Hall 'F -4 2 3'
loop_
_atom_site_label
_atom_site_fract_x
_atom_site_fract_y
_atom_site_fract_z
_atom_site_occupancy
Hf1 0.000 0.000 0.000 1
Cu1 0.250 0.250 0.750 1
Ag1 0.250 0.250 0.250 1
Sn1 0.000 0.000 0.500 1
```

Crystal system: cubic
Theoretical density, g/cm³: 10.57
Magnetic moment, μB per formula unit: 0.00

Of them, (Q) has the highest stability.